Density functional theory data (PBE) for Ac2Al2BIr2 after structural relaxation.

E_form	-0.701	eV/atom
DOS(E_F)	3.3	states/eV per cell
SG	C2/m (12)

abc: 4.4766 6.3705 6.2410
angles: 75.46 68.98 69.43
Last column: nearest neighbours and their distance in Å.
Element x y z (fractional)
Ac 0.5615 0.1812 0.6957  2 B 2.96
Ac 0.4385 0.8188 0.3043  2 B 2.96
Al 0.1712 0.3992 0.2585  3 Ir 2.52
Al 0.8288 0.6008 0.7415  3 Ir 2.52
B 0.0000 0.0000 0.0000  2 Ir 1.98
Ir 0.2005 0.6952 0.9038  1 B 1.98
Ir 0.7995 0.3048 0.0962  1 B 1.98